No. 1
# BeCrIn, PBEsol geometry, DFT meta-GGA SCAN
# Density of states at the Fermi level, states/eV/cell: 4.42
# Final energy, eV per atom: -18.2025
# Total magnetic moment, μB/cell: 0.012
data_BeCrIn
_chemical_formula_sum 'Be2 Cr2 In2'
_symmetry_space_group_name_H-M 'I m m 2'
_symmetry_Int_Tables_number 44
_symmetry_space_group_name_Hall 'I 2 -2'
_cell_length_a 2.7397
_cell_length_b 3.1883
_cell_length_c 9.3594
_cell_angle_alpha 90.00
_cell_angle_beta 90.00
_cell_angle_gamma 90.00
loop_
_atom_site_label
_atom_site_type_symbol
_atom_site_fract_x
_atom_site_fract_y
_atom_site_fract_z
Be1 Be 0.0000 0.0000 0.0000
Cr1 Cr 0.0000 0.0000 0.3947
In1 In 0.0000 0.0000 0.6978


No. 2
# BeCr2In, PBEsol geometry, DFT meta-GGA SCAN
# Density of states at the Fermi level, states/eV/cell: 9.29
# Relative energy among the computed polymorphs, meV per atom: 245
# Total magnetic moment, μB/cell: 15.431
data_BeCr2In
_chemical_formula_sum 'Be3 Cr6 In3'
_symmetry_space_group_name_H-M 'R -3 m'
_symmetry_Int_Tables_number 166
_symmetry_space_group_name_Hall '-R 3 2"'
_cell_length_a 2.8760
_cell_length_b 2.8760
_cell_length_c 23.0114
_cell_angle_alpha 90.00
_cell_angle_beta 90.00
_cell_angle_gamma 120.00
loop_
_atom_site_label
_atom_site_type_symbol
_atom_site_fract_x
_atom_site_fract_y
_atom_site_fract_z
Be1 Be 0.0000 0.0000 0.0000
Cr1 Cr 0.0000 0.0000 0.2650
In1 In 0.0000 0.0000 0.5000


No. 3
# Be2CrIn, PBEsol geometry, DFT meta-GGA SCAN
# Density of states at the Fermi level, states/eV/cell: 4.01
# Final energy, eV per atom: -14.6901
# Total magnetic moment, μB/cell: 0.001
data_Be2CrIn
_chemical_formula_sum 'Be4 Cr2 In2'
_symmetry_space_group_name_H-M 'C 1 2/m 1'
_symmetry_Int_Tables_number 12
_symmetry_space_group_name_Hall '-C 2y'
_cell_length_a 8.2406
_cell_length_b 2.6711
_cell_length_c 4.7581
_cell_angle_alpha 90.00
_cell_angle_beta 99.07
_cell_angle_gamma 90.00
loop_
_atom_site_label
_atom_site_type_symbol
_atom_site_fract_x
_atom_site_fract_y
_atom_site_fract_z
Be1 Be 0.2344 0.0000 0.1673
Cr1 Cr 0.0000 0.5000 0.0000
In1 In 0.0000 0.0000 0.5000


No. 4
# BeCrIn3, PBEsol geometry, DFT meta-GGA SCAN
# Density of states at the Fermi level, states/eV/cell: 2.06
# Final energy, eV per atom: -24.0684
# Total magnetic moment, μB/cell: 4.742
data_BeCrIn3
_chemical_formula_sum 'Be1 Cr1 In3'
_symmetry_space_group_name_H-M 'P m -3 m'
_symmetry_Int_Tables_number 221
_symmetry_space_group_name_Hall '-P 4 2 3'
_cell_length_a 4.7859
_cell_length_b 4.7859
_cell_length_c 4.7859
_cell_angle_alpha 90.00
_cell_angle_beta 90.00
_cell_angle_gamma 90.00
loop_
_atom_site_label
_atom_site_type_symbol
_atom_site_fract_x
_atom_site_fract_y
_atom_site_fract_z
Be1 Be 0.0000 0.0000 0.0000
Cr1 Cr 0.5000 0.5000 0.5000
In1 In 0.0000 0.0000 0.5000


No. 5
# Be2CrIn, PBEsol geometry, DFT meta-GGA SCAN
# Density of states at the Fermi level, states/eV/cell: 1.73
# Final energy, eV per atom: -14.8253
# Total magnetic moment, μB/cell: 2.853
data_Be2CrIn
_chemical_formula_sum 'Be2 Cr1 In1'
_symmetry_space_group_name_H-M 'P 4 m m'
_symmetry_Int_Tables_number 99
_symmetry_space_group_name_Hall 'P 4 -2'
_cell_length_a 2.8355
_cell_length_b 2.8355
_cell_length_c 6.2274
_cell_angle_alpha 90.00
_cell_angle_beta 90.00
_cell_angle_gamma 90.00
loop_
_atom_site_label
_atom_site_type_symbol
_atom_site_fract_x
_atom_site_fract_y
_atom_site_fract_z
Be1 Be 0.0000 0.0000 0.0000
Be2 Be 0.5000 0.5000 0.1682
Cr1 Cr 0.0000 0.0000 0.3750
In1 In 0.5000 0.5000 0.6905


No. 6
# BeCr2In, PBEsol geometry, DFT meta-GGA SCAN
# Density of states at the Fermi level, states/eV/cell: 1.50
# Relative energy among the computed polymorphs, meV per atom: 0
# Total magnetic moment, μB/cell: 6.627
data_BeCr2In
_chemical_formula_sum 'Be1 Cr2 In1'
_symmetry_space_group_name_H-M 'P 4/m m m'
_symmetry_Int_Tables_number 123
_symmetry_space_group_name_Hall '-P 4 2'
_cell_length_a 4.2614
_cell_length_b 4.2614
_cell_length_c 3.1653
_cell_angle_alpha 90.00
_cell_angle_beta 90.00
_cell_angle_gamma 90.00
loop_
_atom_site_label
_atom_site_type_symbol
_atom_site_fract_x
_atom_site_fract_y
_atom_site_fract_z
Be1 Be 0.0000 0.0000 0.0000
Cr1 Cr 0.0000 0.5000 0.5000
In1 In 0.5000 0.5000 0.0000


No. 7
# BeCrIn2Ir, PBEsol geometry, DFT meta-GGA SCAN
# Density of states at the Fermi level, states/eV/cell: 2.97
# Final energy, eV per atom: -30.9370
# Total magnetic moment, μB/cell: 2.051
data_BeCrIn2Ir
_chemical_formula_sum 'Be1 Cr1 In2 Ir1'
_symmetry_space_group_name_H-M 'P 4/m m m'
_symmetry_Int_Tables_number 123
_symmetry_space_group_name_Hall '-P 4 2'
_cell_length_a 4.9758
_cell_length_b 4.9758
_cell_length_c 4.3867
_cell_angle_alpha 90.00
_cell_angle_beta 90.00
_cell_angle_gamma 90.00
loop_
_atom_site_label
_atom_site_type_symbol
_atom_site_fract_x
_atom_site_fract_y
_atom_site_fract_z
Be1 Be 0.0000 0.0000 0.0000
Cr1 Cr 0.5000 0.5000 0.5000
In1 In 0.0000 0.5000 0.5000
Ir1 Ir 0.5000 0.5000 0.0000


No. 8
# Be4CrIr, PBEsol geometry, DFT meta-GGA SCAN
# Density of states at the Fermi level, states/eV/cell: 4.00
# Final energy, eV per atom: -18.3688
# Total magnetic moment, μB/cell: 11.946
data_Be4CrIr
_chemical_formula_sum 'Be16 Cr4 Ir4'
_symmetry_space_group_name_H-M 'F -4 3 m'
_symmetry_Int_Tables_number 216
_symmetry_space_group_name_Hall 'F -4 2 3'
_cell_length_a 6.0620
_cell_length_b 6.0620
_cell_length_c 6.0620
_cell_angle_alpha 90.00
_cell_angle_beta 90.00
_cell_angle_gamma 90.00
loop_
_atom_site_label
_atom_site_type_symbol
_atom_site_fract_x
_atom_site_fract_y
_atom_site_fract_z
Be1 Be 0.1247 0.1247 0.1247
Cr1 Cr 0.2500 0.2500 0.7500
Ir1 Ir 0.0000 0.0000 0.5000


No. 9
# LaBeCr2Ir, PBEsol geometry, DFT meta-GGA SCAN
# Density of states at the Fermi level, states/eV/cell: 3.74
# Final energy, eV per atom: -28.7231
# Total magnetic moment, μB/cell: 1.580
data_LaBeCr2Ir
_chemical_formula_sum 'La1 Be1 Cr2 Ir1'
_symmetry_space_group_name_H-M 'P 4/m m m'
_symmetry_Int_Tables_number 123
_symmetry_space_group_name_Hall '-P 4 2'
_cell_length_a 4.3078
_cell_length_b 4.3078
_cell_length_c 4.4420
_cell_angle_alpha 90.00
_cell_angle_beta 90.00
_cell_angle_gamma 90.00
loop_
_atom_site_label
_atom_site_type_symbol
_atom_site_fract_x
_atom_site_fract_y
_atom_site_fract_z
La1 La 0.0000 0.0000 0.0000
Be1 Be 0.0000 0.0000 0.5000
Cr1 Cr 0.0000 0.5000 0.0000
Ir1 Ir 0.5000 0.5000 0.5000


No. 10
# LaBeCr, PBEsol geometry, DFT meta-GGA SCAN
# Density of states at the Fermi level, states/eV/cell: 3.57
# Final energy, eV per atom: -21.1394
# Total magnetic moment, μB/cell: 12.230
data_LaBeCr
_chemical_formula_sum 'La4 Be4 Cr4'
_symmetry_space_group_name_H-M 'F -4 3 m'
_symmetry_Int_Tables_number 216
_symmetry_space_group_name_Hall 'F -4 2 3'
_cell_length_a 6.0218
_cell_length_b 6.0218
_cell_length_c 6.0218
_cell_angle_alpha 90.00
_cell_angle_beta 90.00
_cell_angle_gamma 90.00
loop_
_atom_site_label
_atom_site_type_symbol
_atom_site_fract_x
_atom_site_fract_y
_atom_site_fract_z
La1 La 0.0000 0.0000 0.0000
Be1 Be 0.0000 0.0000 0.5000
Cr1 Cr 0.2500 0.2500 0.2500


No. 11
# LaBeCr2, PBEsol geometry, DFT meta-GGA SCAN
# Density of states at the Fermi level, states/eV/cell: 3.52
# Final energy, eV per atom: -20.5981
# Total magnetic moment, μB/cell: 0.000
data_LaBeCr2
_chemical_formula_sum 'La1 Be1 Cr2'
_symmetry_space_group_name_H-M 'P 4/m m m'
_symmetry_Int_Tables_number 123
_symmetry_space_group_name_Hall '-P 4 2'
_cell_length_a 3.1099
_cell_length_b 3.1099
_cell_length_c 6.4609
_cell_angle_alpha 90.00
_cell_angle_beta 90.00
_cell_angle_gamma 90.00
loop_
_atom_site_label
_atom_site_type_symbol
_atom_site_fract_x
_atom_site_fract_y
_atom_site_fract_z
La1 La 0.0000 0.0000 0.0000
Be1 Be 0.0000 0.0000 0.5000
Cr1 Cr 0.5000 0.5000 0.3544


No. 12
# LaBe2CrOs, PBEsol geometry, DFT meta-GGA SCAN
# Density of states at the Fermi level, states/eV/cell: 3.39
# Final energy, eV per atom: -27.9740
# Total magnetic moment, μB/cell: 0.319
data_LaBe2CrOs
_chemical_formula_sum 'La1 Be2 Cr1 Os1'
_symmetry_space_group_name_H-M 'P 4/m m m'
_symmetry_Int_Tables_number 123
_symmetry_space_group_name_Hall '-P 4 2'
_cell_length_a 4.3681
_cell_length_b 4.3681
_cell_length_c 4.4051
_cell_angle_alpha 90.00
_cell_angle_beta 90.00
_cell_angle_gamma 90.00
loop_
_atom_site_label
_atom_site_type_symbol
_atom_site_fract_x
_atom_site_fract_y
_atom_site_fract_z
La1 La 0.0000 0.0000 0.0000
Be1 Be 0.0000 0.5000 0.5000
Cr1 Cr 0.5000 0.5000 0.5000
Os1 Os 0.5000 0.5000 0.0000


No. 13
# LiBeCr2, PBEsol geometry, DFT meta-GGA SCAN
# Density of states at the Fermi level, states/eV/cell: 10.32
# Final energy, eV per atom: -10.4538
# Total magnetic moment, μB/cell: 0.002
data_LiBeCr2
_chemical_formula_sum 'Li3 Be3 Cr6'
_symmetry_space_group_name_H-M 'R -3 m'
_symmetry_Int_Tables_number 166
_symmetry_space_group_name_Hall '-R 3 2"'
_cell_length_a 2.4133
_cell_length_b 2.4133
_cell_length_c 26.1740
_cell_angle_alpha 90.00
_cell_angle_beta 90.00
_cell_angle_gamma 120.00
loop_
_atom_site_label
_atom_site_type_symbol
_atom_site_fract_x
_atom_site_fract_y
_atom_site_fract_z
Li1 Li 0.0000 0.0000 0.0000
Be1 Be 0.0000 0.0000 0.5000
Cr1 Cr 0.0000 0.0000 0.2433


No. 14
# LiBeCr2, PBEsol geometry, DFT meta-GGA SCAN
# Density of states at the Fermi level, states/eV/cell: 11.63
# Final energy, eV per atom: -10.0928
# Total magnetic moment, μB/cell: 0.000
data_LiBeCr2
_chemical_formula_sum 'Li4 Be4 Cr8'
_symmetry_space_group_name_H-M 'I -4 2 d'
_symmetry_Int_Tables_number 122
_symmetry_space_group_name_Hall 'I -4 2bw'
_cell_length_a 3.2123
_cell_length_b 3.2123
_cell_length_c 17.4544
_cell_angle_alpha 90.00
_cell_angle_beta 90.00
_cell_angle_gamma 90.00
loop_
_atom_site_label
_atom_site_type_symbol
_atom_site_fract_x
_atom_site_fract_y
_atom_site_fract_z
Li1 Li 0.0000 0.0000 0.0000
Be1 Be 0.0000 0.0000 0.5000
Cr1 Cr 0.2387 0.2500 0.6250


No. 15
# LiBeCr2, PBEsol geometry, DFT meta-GGA SCAN
# Density of states at the Fermi level, states/eV/cell: 2.72
# Final energy, eV per atom: -10.3655
# Total magnetic moment, μB/cell: 0.002
data_LiBeCr2
_chemical_formula_sum 'Li1 Be1 Cr2'
_symmetry_space_group_name_H-M 'P 4/m m m'
_symmetry_Int_Tables_number 123
_symmetry_space_group_name_Hall '-P 4 2'
_cell_length_a 3.0437
_cell_length_b 3.0437
_cell_length_c 4.8727
_cell_angle_alpha 90.00
_cell_angle_beta 90.00
_cell_angle_gamma 90.00
loop_
_atom_site_label
_atom_site_type_symbol
_atom_site_fract_x
_atom_site_fract_y
_atom_site_fract_z
Li1 Li 0.0000 0.0000 0.0000
Be1 Be 0.0000 0.0000 0.5000
Cr1 Cr 0.5000 0.5000 0.3072